Record 1
A plane-wave DFT calculation with PBE was carried out for a relaxed TbZrGa2 crystal.

The value obtained for the relative energy among the computed polymorphs is 0.0199 eV per atom. As for the energy of formation from the pure elements: -0.49 eV per atom. The value obtained for the electronic total energy is -21.20 eV/cell.

The space group is P4/mmm (No. 123) and the conventional cell measures 3.607, 3.607 and 6.462 Å, with angles of 90.00, 90.00 and 90.00 degrees. Symmetry generates all atoms from Tb at (0.000, 0.000, 0.000), Zr at (0.000, 0.000, 0.500) and Ga at (0.500, 0.500, 0.279).

Record 2
A plane-wave DFT calculation with PBE was carried out for a relaxed Ac2MgCd2 crystal.

The value obtained for the relative energy among the computed polymorphs is 0.0095 eV per atom. As for the energy of formation from the pure elements: -0.22 eV per atom. The value obtained for the electronic total energy is -25.43 eV/cell.

The space group is Immm (No. 71) and the conventional cell measures 4.835, 6.662 and 10.070 Å, with angles of 90.00, 90.00 and 90.00 degrees. Symmetry generates all atoms from Ac at (0.000, 0.000, 0.201), Mg at (0.000, 0.500, 0.000) and Cd at (0.000, 0.264, 0.500).

Record 3
A plane-wave DFT calculation with PBE was carried out for a relaxed SrPrAgPb crystal.

As for the energy of formation from the pure elements: -0.43 eV per atom. The value obtained for the electronic total energy is -58.89 eV/cell.

The space group is F-43m (No. 216) and the conventional cell measures 7.888, 7.888 and 7.888 Å, with angles of 90.00, 90.00 and 90.00 degrees. Symmetry generates all atoms from Sr at (0.000, 0.000, 0.000), Pr at (0.000, 0.000, 0.500), Ag at (0.250, 0.250, 0.250) and Pb at (0.250, 0.250, 0.750).

Record 4
A plane-wave DFT calculation with PBE was carried out for a relaxed AcMgCu4 crystal.

As for the energy of formation from the pure elements: -0.10 eV per atom. The value obtained for the electronic total energy is -90.79 eV/cell.

The space group is F-43m (No. 216) and the conventional cell measures 7.526, 7.526 and 7.526 Å, with angles of 90.00, 90.00 and 90.00 degrees. Symmetry generates all atoms from Ac at (0.000, 0.000, 0.000), Mg at (0.250, 0.250, 0.750) and Cu at (0.121, 0.121, 0.379).

Record 5
A plane-wave DFT calculation with PBE was carried out for a relaxed Cs2CdSeBr6 crystal.

The calculation puts the uncorrected formation energy at -0.987 eV/atom. The value obtained for the electronic total energy is -52.02 eV/cell.

The space group is I4/mmm (No. 139) and the conventional cell measures 7.954, 7.954 and 12.126 Å, with angles of 90.00, 90.00 and 90.00 degrees. Symmetry generates all atoms from Cs at (0.000, 0.500, 0.250), Cd at (0.000, 0.000, 0.000), Se at (0.000, 0.000, 0.500), Br at (0.000, 0.000, 0.211) and Br at (0.232, 0.232, 0.500).

Record 6
A plane-wave DFT calculation with PBE was carried out for a relaxed CrRh2 crystal.

As for the energy of formation from the pure elements: -0.10 eV per atom. The value obtained for the electronic total energy is -98.51 eV/cell.

The space group is Cmcm (No. 63) and the conventional cell measures 2.703, 13.889 and 4.262 Å, with angles of 90.00, 90.00 and 90.00 degrees. Symmetry generates all atoms from Cr at (0.000, 0.112, 0.250), Rh at (0.000, 0.225, 0.750) and Rh at (0.000, 0.444, 0.250).